1.
DFT (GGA-PBEsol) results for crystalline TcSb2Cl at its relaxed geometry.

Cell lengths 6.337, 6.337, 12.151 Å; angles 90.00, 90.00, 90.00 degrees
Space group I-42d (No. 122)
Inequivalent atoms, fractional coordinates:
Tc  0.000  0.000  0.000 (multiplicity 4)
Sb  0.182  0.250  0.125 (multiplicity 8)
Cl  0.000  0.000  0.500 (multiplicity 4)

## Properties
* energy above the most stable polymorph in this dataset: 398 meV/atom
* crystal system: tetragonal
* uncorrected formation energy: 159 kJ/mol of formula units
* calculated total energy: -5.185 eV/atom

***

2.
DFT (GGA-PBEsol) results for crystalline TcSb2Cl at its relaxed geometry.

Cell lengths 4.148, 4.148, 4.975 Å; angles 90.00, 90.00, 90.00 degrees
Space group P4/mmm (No. 123)
Inequivalent atoms, fractional coordinates:
Tc  0.000  0.000  0.000 (multiplicity 1)
Sb  0.000  0.500  0.500 (multiplicity 2)
Cl  0.500  0.500  0.000 (multiplicity 1)

## Properties
* energy above the most stable polymorph in this dataset: 746 meV/atom
* crystal system: tetragonal
* uncorrected formation energy: 293 kJ/mol of formula units
* calculated total energy: -4.837 eV/atom

***

3.
DFT (GGA-PBEsol) results for crystalline TcSbCl at its relaxed geometry.

Cell lengths 6.587, 6.587, 6.587 Å; angles 90.00, 90.00, 90.00 degrees
Space group F-43m (No. 216)
Inequivalent atoms, fractional coordinates:
Tc  0.000  0.000  0.000 (multiplicity 4)
Sb  0.250  0.250  0.250 (multiplicity 4)
Cl  0.000  0.000  0.500 (multiplicity 4)

## Properties
* crystal system: cubic
* uncorrected formation energy: 298 kJ/mol of formula units
* calculated total energy: -4.916 eV/atom

***

4.
DFT (GGA-PBEsol) results for crystalline TcSb2Cl at its relaxed geometry.

Cell lengths 3.042, 5.426, 10.595 Å; angles 90.00, 90.00, 90.00 degrees
Space group Cmm2 (No. 35)
Inequivalent atoms, fractional coordinates:
Tc  0.000  0.000  0.000 (multiplicity 2)
Sb  0.000  0.000  0.470 (multiplicity 2)
Sb  0.000  0.500  0.780 (multiplicity 2)
Cl  0.000  0.500  0.168 (multiplicity 2)

## Properties
* energy above the most stable polymorph in this dataset: 293 meV/atom
* crystal system: orthorhombic
* uncorrected formation energy: 119 kJ/mol of formula units
* calculated total energy: -5.290 eV/atom

***

5.
DFT (GGA-PBEsol) results for crystalline TcSb2Cl at its relaxed geometry.

Cell lengths 3.339, 5.251, 9.792 Å; angles 90.00, 90.00, 90.00 degrees
Space group Amm2 (No. 38)
Inequivalent atoms, fractional coordinates:
Tc  0.000  0.000  0.000 (multiplicity 2)
Sb  0.000  0.000  0.514 (multiplicity 2)
Sb  0.500  0.000  0.800 (multiplicity 2)
Cl  0.500  0.000  0.199 (multiplicity 2)

## Properties
* energy above the most stable polymorph in this dataset: 0 meV/atom
* crystal system: orthorhombic
* uncorrected formation energy: 5 kJ/mol of formula units
* calculated total energy: -5.583 eV/atom

***

6.
DFT (GGA-PBEsol) results for crystalline TcSb2TeCl at its relaxed geometry.

Cell lengths 5.185, 5.185, 5.103 Å; angles 90.00, 90.00, 90.00 degrees
Space group P4/mmm (No. 123)
Inequivalent atoms, fractional coordinates:
Tc  0.000  0.000  0.000 (multiplicity 1)
Sb  0.000  0.500  0.500 (multiplicity 2)
Te  0.500  0.500  0.000 (multiplicity 1)
Cl  0.500  0.500  0.500 (multiplicity 1)

## Properties
* crystal system: tetragonal
* uncorrected formation energy: 698 kJ/mol of formula units
* calculated total energy: -3.737 eV/atom

***

7.
DFT (GGA-PBEsol) results for crystalline SbTeCl at its relaxed geometry.

Cell lengths 3.189, 4.851, 12.599 Å; angles 90.00, 90.00, 90.00 degrees
Space group Imm2 (No. 44)
Inequivalent atoms, fractional coordinates:
Sb  0.000  0.000  0.000 (multiplicity 2)
Te  0.000  0.000  0.786 (multiplicity 2)
Cl  0.000  0.000  0.513 (multiplicity 2)

## Properties
* crystal system: orthorhombic
* uncorrected formation energy: -39 kJ/mol of formula units
* calculated total energy: -3.500 eV/atom

***

8.
DFT (GGA-PBEsol) results for crystalline TlSb2TeCl at its relaxed geometry.

Cell lengths 5.640, 5.640, 5.592 Å; angles 90.00, 90.00, 90.00 degrees
Space group P4/mmm (No. 123)
Inequivalent atoms, fractional coordinates:
Tl  0.000  0.000  0.000 (multiplicity 1)
Sb  0.000  0.500  0.000 (multiplicity 2)
Te  0.000  0.000  0.500 (multiplicity 1)
Cl  0.500  0.500  0.500 (multiplicity 1)

## Properties
* crystal system: tetragonal
* uncorrected formation energy: 378 kJ/mol of formula units
* calculated total energy: -2.672 eV/atom

***

9.
DFT (GGA-PBEsol) results for crystalline Sb2TeWCl at its relaxed geometry.

Cell lengths 5.209, 5.209, 5.126 Å; angles 90.00, 90.00, 90.00 degrees
Space group P4/mmm (No. 123)
Inequivalent atoms, fractional coordinates:
Sb  0.000  0.500  0.000 (multiplicity 2)
Te  0.000  0.000  0.500 (multiplicity 1)
W  0.000  0.000  0.000 (multiplicity 1)
Cl  0.500  0.500  0.500 (multiplicity 1)

## Properties
* crystal system: tetragonal
* uncorrected formation energy: 176 kJ/mol of formula units
* calculated total energy: -5.325 eV/atom

***

10.
DFT (GGA-PBEsol) results for crystalline ZrSb2TeCl at its relaxed geometry.

Cell lengths 5.029, 5.029, 5.353 Å; angles 90.00, 90.00, 90.00 degrees
Space group P4/mmm (No. 123)
Inequivalent atoms, fractional coordinates:
Zr  0.000  0.000  0.000 (multiplicity 1)
Sb  0.000  0.500  0.500 (multiplicity 2)
Te  0.500  0.500  0.000 (multiplicity 1)
Cl  0.500  0.500  0.500 (multiplicity 1)

## Properties
* crystal system: tetragonal
* uncorrected formation energy: 301 kJ/mol of formula units
* calculated total energy: -4.123 eV/atom

***

11.
DFT (GGA-PBEsol) results for crystalline TiSbCl3 at its relaxed geometry.

Cell lengths 4.883, 4.883, 4.883 Å; angles 90.00, 90.00, 90.00 degrees
Space group Pm-3m (No. 221)
Inequivalent atoms, fractional coordinates:
Ti  0.000  0.000  0.000 (multiplicity 1)
Sb  0.500  0.500  0.500 (multiplicity 1)
Cl  0.000  0.000  0.500 (multiplicity 3)

## Properties
* crystal system: cubic
* uncorrected formation energy: -272 kJ/mol of formula units
* calculated total energy: -4.344 eV/atom

***

12.
DFT (GGA-PBEsol) results for crystalline Tl2Sb2Cl at its relaxed geometry.

Cell lengths 4.156, 4.156, 17.832 Å; angles 90.00, 90.00, 90.00 degrees
Space group I4/mmm (No. 139)
Inequivalent atoms, fractional coordinates:
Tl  0.000  0.000  0.091 (multiplicity 4)
Sb  0.000  0.500  0.250 (multiplicity 4)
Cl  0.000  0.000  0.500 (multiplicity 2)

## Properties
* crystal system: tetragonal
* uncorrected formation energy: -129 kJ/mol of formula units
* calculated total energy: -3.544 eV/atom

***

13.
DFT (GGA-PBEsol) results for crystalline TlSbCl2 at its relaxed geometry.

Cell lengths 7.197, 7.197, 7.197 Å; angles 90.00, 90.00, 90.00 degrees
Space group F-43m (No. 216)
Inequivalent atoms, fractional coordinates:
Tl  0.000  0.000  0.000 (multiplicity 4)
Sb  0.250  0.250  0.250 (multiplicity 4)
Cl  0.000  0.000  0.500 (multiplicity 4)
Cl  0.250  0.250  0.750 (multiplicity 4)

## Properties
* energy above the most stable polymorph in this dataset: 256 meV/atom
* crystal system: cubic
* uncorrected formation energy: -50 kJ/mol of formula units
* calculated total energy: -2.931 eV/atom

***

14.
DFT (GGA-PBEsol) results for crystalline TlSbCl2 at its relaxed geometry.

Cell lengths 7.613, 7.677, 3.323 Å; angles 90.00, 90.00, 90.00 degrees
Space group Cmmm (No. 65)
Inequivalent atoms, fractional coordinates:
Tl  0.000  0.000  0.000 (multiplicity 2)
Sb  0.000  0.500  0.000 (multiplicity 2)
Cl  0.250  0.250  0.500 (multiplicity 4)

## Properties
* energy above the most stable polymorph in this dataset: 46 meV/atom
* crystal system: orthorhombic
* uncorrected formation energy: -131 kJ/mol of formula units
* calculated total energy: -3.141 eV/atom

***

15.
DFT (GGA-PBEsol) results for crystalline TlSbCl2 at its relaxed geometry.

Cell lengths 3.321, 3.321, 8.719 Å; angles 90.00, 90.00, 90.00 degrees
Space group P4/mmm (No. 123)
Inequivalent atoms, fractional coordinates:
Tl  0.000  0.000  0.000 (multiplicity 1)
Sb  0.000  0.000  0.500 (multiplicity 1)
Cl  0.500  0.500  0.241 (multiplicity 2)

## Properties
* energy above the most stable polymorph in this dataset: 0 meV/atom
* crystal system: tetragonal
* uncorrected formation energy: -149 kJ/mol of formula units
* calculated total energy: -3.187 eV/atom